# ScAlNiRh (PBE, optimized geometry)
# volume: 14.670 Å³ per atom
# E_tot: -0.487 Ry per atom
data_ScAlNiRh
_cell_length_a 6.1685
_cell_length_b 6.1685
_cell_length_c 6.1685
_cell_angle_alpha 90.00
_cell_angle_beta 90.00
_cell_angle_gamma 90.00
_space_group_name_H-M_alt 'F -4 3 m'
_space_group_IT_number 216
_space_group_name_Hall 'F -4 2 3'
loop_
_atom_site_label
_atom_site_type_symbol
_atom_site_fract_x
_atom_site_fract_y
_atom_site_fract_z
_atom_site_occupancy
Sc1 Sc 0.0000 0.0000 0.0000 1
Al1 Al 0.0000 0.0000 0.5000 1
Ni1 Ni 0.2500 0.2500 0.2500 1
Rh1 Rh 0.2500 0.2500 0.7500 1